Crystalline AcInHg2 at its relaxed geometry. Source: the Alexandria database, functional PBEsol.

- E_form: -2.07 eV/f.u.

a = 5.314 Å, b = 5.314 Å, c = 5.314 Å
α = 60.00°, β = 60.00°, γ = 60.00°
Fractional coordinates of all 4 atoms:
Ac1 0.000 0.000 0.000
Hg1 0.750 0.750 0.750
Hg2 0.250 0.250 0.250
In1 0.500 0.500 0.500

Crystalline H12WC2S4N2 at its relaxed geometry. Source: the Alexandria database, functional PBEsol.

- Total DFT energy (no corrections): -456.9 eV/cell

a = 6.931 Å, b = 9.351 Å, c = 15.887 Å
α = 90.00°, β = 90.00°, γ = 90.00°
Fractional coordinates of all 84 atoms:
H1 0.629 0.624 0.893
H2 0.871 0.124 0.607
H3 0.129 0.376 0.107
H4 0.371 0.876 0.393
H5 0.371 0.376 0.107
H6 0.129 0.876 0.393
H7 0.871 0.624 0.893
H8 0.629 0.124 0.607
H9 0.750 0.466 0.906
H10 0.750 0.966 0.594
H11 0.250 0.534 0.094
H12 0.250 0.034 0.406
H13 0.621 0.480 0.765
H14 0.879 0.980 0.735
H15 0.121 0.520 0.235
H16 0.379 0.020 0.265
H17 0.379 0.520 0.235
H18 0.121 0.020 0.265
H19 0.879 0.480 0.765
H20 0.621 0.980 0.735
H21 0.750 0.644 0.750
H22 0.750 0.144 0.750
H23 0.250 0.356 0.250
H24 0.250 0.856 0.250
H25 0.629 0.871 0.060
H26 0.871 0.371 0.440
H27 0.129 0.129 0.940
H28 0.371 0.629 0.560
H29 0.371 0.129 0.940
H30 0.129 0.629 0.560
H31 0.871 0.871 0.060
H32 0.629 0.371 0.440
H33 0.750 0.716 0.071
H34 0.750 0.216 0.429
H35 0.250 0.284 0.929
H36 0.250 0.784 0.571
H37 0.880 0.790 0.206
H38 0.620 0.290 0.294
H39 0.380 0.210 0.794
H40 0.120 0.710 0.706
H41 0.120 0.210 0.794
H42 0.380 0.710 0.706
H43 0.620 0.790 0.206
H44 0.880 0.290 0.294
H45 0.750 0.956 0.195
H46 0.750 0.456 0.305
H47 0.250 0.044 0.805
H48 0.250 0.544 0.695
W1 0.750 0.249 0.048
W2 0.750 0.749 0.452
W3 0.250 0.751 0.952
W4 0.250 0.251 0.548
C1 0.750 0.541 0.783
C2 0.750 0.041 0.717
C3 0.250 0.459 0.217
C4 0.250 0.959 0.283
C5 0.750 0.841 0.180
C6 0.750 0.341 0.320
C7 0.250 0.159 0.820
C8 0.250 0.659 0.680
S1 0.750 0.475 0.087
S2 0.750 0.975 0.413
S3 0.250 0.525 0.913
S4 0.250 0.025 0.587
S5 0.750 0.232 0.911
S6 0.750 0.732 0.589
S7 0.250 0.768 0.089
S8 0.250 0.268 0.411
S9 0.494 0.140 0.098
S10 0.006 0.640 0.402
S11 0.994 0.860 0.902
S12 0.506 0.360 0.598
S13 0.506 0.860 0.902
S14 0.994 0.360 0.598
S15 0.006 0.140 0.098
S16 0.494 0.640 0.402
N1 0.750 0.565 0.874
N2 0.750 0.065 0.626
N3 0.250 0.435 0.126
N4 0.250 0.935 0.374
N5 0.750 0.825 0.087
N6 0.750 0.325 0.413
N7 0.250 0.175 0.913
N8 0.250 0.675 0.587

Crystalline MnCoSb2 at its relaxed geometry. Source: the Alexandria database, functional PBEsol.

- ΔE_f (raw): 149 meV/atom
- Polymorph energy (0 for the lowest one): 17.9 meV/atom

a = 3.028 Å, b = 3.928 Å, c = 6.440 Å
α = 107.76°, β = 103.60°, γ = 90.00°
Site moments in Bohr magnetons follow the coordinates.
Fractional coordinates of all 4 atoms:
Co1 0.482 0.482 0.965  0.27
Mn1 0.185 0.685 0.370  3.22
Sb1 0.033 0.033 0.067  -0.04
Sb2 0.799 0.299 0.599  -0.05

Crystalline MgInHg2 at its relaxed geometry. Source: the Alexandria database, functional PBEsol.

- E_form: -0.48 eV/f.u.

a = 3.548 Å, b = 4.254 Å, c = 5.997 Å
α = 90.00°, β = 90.00°, γ = 90.00°
Fractional coordinates of all 4 atoms:
Mg1 0.500 0.500 0.773
Hg1 0.000 0.000 0.979
Hg2 0.500 0.500 0.263
In1 0.000 0.000 0.485

Crystalline CsCr2PRh at its relaxed geometry. Source: the Alexandria database, functional PBEsol.

- E_form: 14.67 eV/f.u.

a = 5.143 Å, b = 4.948 Å, c = 4.948 Å
α = 90.00°, β = 90.00°, γ = 90.00°
Site moments in Bohr magnetons follow the coordinates.
Fractional coordinates of all 5 atoms:
Cs1 0.000 0.000 0.000  0.10
Cr1 0.000 0.000 0.500  3.71
Cr2 0.000 0.500 0.000  3.71
Rh1 0.500 0.500 0.500  -0.76
P1 0.500 0.000 0.000  -0.05

Crystalline CuReB2Br at its relaxed geometry. Source: the Alexandria database, functional PBEsol.

- ΔE_f (raw): 2756 meV/atom

a = 3.940 Å, b = 3.940 Å, c = 4.769 Å
α = 90.00°, β = 90.00°, γ = 90.00°
Site moments in Bohr magnetons follow the coordinates.
Fractional coordinates of all 5 atoms:
Re1 0.000 0.000 0.500  0.81
B1 0.000 0.500 0.000  0.00
B2 0.500 0.000 0.000  0.00
Cu1 0.500 0.500 0.500  0.05
Br1 0.000 0.000 0.000  0.00